Version w
# PaAgSn2, optimized geometry, DFT GGA-PBE
data_PaAgSn2
_chemical_formula_sum 'Pa1 Ag1 Sn2'
_cell_length_a 5.170
_cell_length_b 5.170
_cell_length_c 5.170
_cell_angle_alpha 60.00
_cell_angle_beta 60.00
_cell_angle_gamma 60.00
_symmetry_space_group_name_H-M 'P 1'
_symmetry_Int_Tables_number 1
loop_
_symmetry_equiv_pos_as_xyz
'x,y,z'
loop_
_atom_site_label
_atom_site_type_symbol
_atom_site_fract_x
_atom_site_fract_y
_atom_site_fract_z
_atom_site_occupancy
Pa1 Pa 0.000 0.000 0.000 1
Ag1 Ag 0.500 0.500 0.500 1
Sn1 Sn 0.250 0.250 0.250 1
Sn2 Sn 0.750 0.750 0.750 1
# D(E_F) = 4.87 states/eV/f.u.
# size of the total moment = 0.86 μB/cell
# SG = Fm-3m
# crystal system = cubic



Version x
# PaAgSn2, optimized geometry, DFT GGA-PBE
data_PaAgSn2
_chemical_formula_sum 'Pa1 Ag1 Sn2'
_cell_length_a 4.680
_cell_length_b 4.680
_cell_length_c 4.361
_cell_angle_alpha 90.00
_cell_angle_beta 90.00
_cell_angle_gamma 90.00
_symmetry_space_group_name_H-M 'P 1'
_symmetry_Int_Tables_number 1
loop_
_symmetry_equiv_pos_as_xyz
'x,y,z'
loop_
_atom_site_label
_atom_site_type_symbol
_atom_site_fract_x
_atom_site_fract_y
_atom_site_fract_z
_atom_site_occupancy
Pa1 Pa 0.000 0.000 0.000 1
Ag1 Ag 0.500 0.500 0.000 1
Sn1 Sn 0.000 0.500 0.500 1
Sn2 Sn 0.500 0.000 0.500 1
# D(E_F) = 4.92 states/eV/f.u.
# size of the total moment = 0.00 μB/cell
# SG = P4/mmm
# crystal system = tetragonal



Quick ranking, most stable first: version x, version w.



Version w
# PaTlAg2, optimized geometry, DFT GGA-PBE
data_PaTlAg2
_chemical_formula_sum 'Pa1 Tl1 Ag2'
_cell_length_a 3.215
_cell_length_b 3.215
_cell_length_c 8.768
_cell_angle_alpha 90.00
_cell_angle_beta 90.00
_cell_angle_gamma 90.00
_symmetry_space_group_name_H-M 'P 1'
_symmetry_Int_Tables_number 1
loop_
_symmetry_equiv_pos_as_xyz
'x,y,z'
loop_
_atom_site_label
_atom_site_type_symbol
_atom_site_fract_x
_atom_site_fract_y
_atom_site_fract_z
_atom_site_occupancy
Pa1 Pa 0.000 0.000 0.000 1
Tl1 Tl 0.000 0.000 0.500 1
Ag1 Ag 0.500 0.500 0.254 1
Ag2 Ag 0.500 0.500 0.746 1
# D(E_F) = 5.34 states/eV/f.u.
# size of the total moment = 0.79 μB/cell
# SG = P4/mmm
# crystal system = tetragonal



Version x
# PaTlAg2, optimized geometry, DFT GGA-PBE
data_PaTlAg2
_chemical_formula_sum 'Pa1 Tl1 Ag2'
_cell_length_a 11.700
_cell_length_b 11.700
_cell_length_c 11.700
_cell_angle_alpha 15.14
_cell_angle_beta 15.14
_cell_angle_gamma 15.14
_symmetry_space_group_name_H-M 'P 1'
_symmetry_Int_Tables_number 1
loop_
_symmetry_equiv_pos_as_xyz
'x,y,z'
loop_
_atom_site_label
_atom_site_type_symbol
_atom_site_fract_x
_atom_site_fract_y
_atom_site_fract_z
_atom_site_occupancy
Pa1 Pa 0.000 0.000 0.000 1
Tl1 Tl 0.500 0.500 0.500 1
Ag1 Ag 0.087 0.087 0.087 1
Ag2 Ag 0.913 0.913 0.913 1
# D(E_F) = 4.51 states/eV/f.u.
# size of the total moment = 1.10 μB/cell
# SG = R-3m
# crystal system = trigonal



Version y
# PaTlAg2, optimized geometry, DFT GGA-PBE
data_PaTlAg2
_chemical_formula_sum 'Pa1 Tl1 Ag2'
_cell_length_a 5.022
_cell_length_b 5.022
_cell_length_c 5.022
_cell_angle_alpha 60.00
_cell_angle_beta 60.00
_cell_angle_gamma 60.00
_symmetry_space_group_name_H-M 'P 1'
_symmetry_Int_Tables_number 1
loop_
_symmetry_equiv_pos_as_xyz
'x,y,z'
loop_
_atom_site_label
_atom_site_type_symbol
_atom_site_fract_x
_atom_site_fract_y
_atom_site_fract_z
_atom_site_occupancy
Pa1 Pa 0.000 0.000 0.000 1
Tl1 Tl 0.500 0.500 0.500 1
Ag1 Ag 0.250 0.250 0.250 1
Ag2 Ag 0.750 0.750 0.750 1
# D(E_F) = 4.26 states/eV/f.u.
# size of the total moment = 0.00 μB/cell
# SG = Fm-3m
# crystal system = cubic



Quick ranking, most stable first: version y, version w, version x.



Version w
# Tm2PaAg, optimized geometry, DFT GGA-PBE
data_Tm2PaAg
_chemical_formula_sum 'Tm2 Pa1 Ag1'
_cell_length_a 3.434
_cell_length_b 3.434
_cell_length_c 8.512
_cell_angle_alpha 90.00
_cell_angle_beta 90.00
_cell_angle_gamma 90.00
_symmetry_space_group_name_H-M 'P 1'
_symmetry_Int_Tables_number 1
loop_
_symmetry_equiv_pos_as_xyz
'x,y,z'
loop_
_atom_site_label
_atom_site_type_symbol
_atom_site_fract_x
_atom_site_fract_y
_atom_site_fract_z
_atom_site_occupancy
Tm1 Tm 0.000 0.000 0.229 1
Tm2 Tm 0.000 0.000 0.771 1
Pa1 Pa 0.500 0.500 0.500 1
Ag1 Ag 0.500 0.500 0.000 1
# D(E_F) = 6.13 states/eV/f.u.
# size of the total moment = 0.00 μB/cell
# SG = P4/mmm
# crystal system = tetragonal



Version x
# Tm2PaAg, optimized geometry, DFT GGA-PBE
data_Tm2PaAg
_chemical_formula_sum 'Tm2 Pa1 Ag1'
_cell_length_a 11.525
_cell_length_b 11.525
_cell_length_c 11.525
_cell_angle_alpha 15.99
_cell_angle_beta 15.99
_cell_angle_gamma 15.99
_symmetry_space_group_name_H-M 'P 1'
_symmetry_Int_Tables_number 1
loop_
_symmetry_equiv_pos_as_xyz
'x,y,z'
loop_
_atom_site_label
_atom_site_type_symbol
_atom_site_fract_x
_atom_site_fract_y
_atom_site_fract_z
_atom_site_occupancy
Tm1 Tm 0.093 0.093 0.093 1
Tm2 Tm 0.907 0.907 0.907 1
Pa1 Pa 0.000 0.000 0.000 1
Ag1 Ag 0.500 0.500 0.500 1
# D(E_F) = 3.78 states/eV/f.u.
# size of the total moment = 0.00 μB/cell
# SG = R-3m
# crystal system = trigonal



Quick ranking, most stable first: version w, version x.



Version w
# Pa2ZnAg, optimized geometry, DFT GGA-PBE
data_Pa2ZnAg
_chemical_formula_sum 'Pa2 Zn1 Ag1'
_cell_length_a 4.298
_cell_length_b 4.298
_cell_length_c 4.627
_cell_angle_alpha 90.00
_cell_angle_beta 90.00
_cell_angle_gamma 90.00
_symmetry_space_group_name_H-M 'P 1'
_symmetry_Int_Tables_number 1
loop_
_symmetry_equiv_pos_as_xyz
'x,y,z'
loop_
_atom_site_label
_atom_site_type_symbol
_atom_site_fract_x
_atom_site_fract_y
_atom_site_fract_z
_atom_site_occupancy
Pa1 Pa 0.000 0.500 0.000 1
Pa2 Pa 0.500 0.000 0.000 1
Zn1 Zn 0.000 0.000 0.500 1
Ag1 Ag 0.500 0.500 0.500 1
# D(E_F) = 5.83 states/eV/f.u.
# size of the total moment = 0.00 μB/cell
# SG = P4/mmm
# crystal system = tetragonal



Version x
# Pa2ZnAg, optimized geometry, DFT GGA-PBE
data_Pa2ZnAg
_chemical_formula_sum 'Pa2 Zn1 Ag1'
_cell_length_a 11.532
_cell_length_b 11.532
_cell_length_c 11.532
_cell_angle_alpha 15.10
_cell_angle_beta 15.10
_cell_angle_gamma 15.10
_symmetry_space_group_name_H-M 'P 1'
_symmetry_Int_Tables_number 1
loop_
_symmetry_equiv_pos_as_xyz
'x,y,z'
loop_
_atom_site_label
_atom_site_type_symbol
_atom_site_fract_x
_atom_site_fract_y
_atom_site_fract_z
_atom_site_occupancy
Pa1 Pa 0.092 0.092 0.092 1
Pa2 Pa 0.908 0.908 0.908 1
Zn1 Zn 0.500 0.500 0.500 1
Ag1 Ag 0.000 0.000 0.000 1
# D(E_F) = 7.42 states/eV/f.u.
# size of the total moment = 0.05 μB/cell
# SG = R-3m
# crystal system = trigonal



Quick ranking, most stable first: version w, version x.



Version w
# PaZn9Ag2, optimized geometry, DFT GGA-PBE
data_PaZn9Ag2
_chemical_formula_sum 'Pa1 Zn9 Ag2'
_cell_length_a 8.901
_cell_length_b 8.901
_cell_length_c 8.901
_cell_angle_alpha 34.31
_cell_angle_beta 34.31
_cell_angle_gamma 34.31
_symmetry_space_group_name_H-M 'P 1'
_symmetry_Int_Tables_number 1
loop_
_symmetry_equiv_pos_as_xyz
'x,y,z'
loop_
_atom_site_label
_atom_site_type_symbol
_atom_site_fract_x
_atom_site_fract_y
_atom_site_fract_z
_atom_site_occupancy
Pa1 Pa 0.000 0.000 0.000 1
Zn1 Zn 0.081 0.589 0.589 1
Zn2 Zn 0.334 0.334 0.334 1
Zn3 Zn 0.411 0.411 0.919 1
Zn4 Zn 0.411 0.919 0.411 1
Zn5 Zn 0.500 0.500 0.500 1
Zn6 Zn 0.589 0.081 0.589 1
Zn7 Zn 0.589 0.589 0.081 1
Zn8 Zn 0.666 0.666 0.666 1
Zn9 Zn 0.919 0.411 0.411 1
Ag1 Ag 0.135 0.135 0.135 1
Ag2 Ag 0.865 0.865 0.865 1
# D(E_F) = 8.41 states/eV/f.u.
# size of the total moment = 1.17 μB/cell
# SG = R-3m
# crystal system = trigonal



Version x
# PaZn9Ag2, optimized geometry, DFT GGA-PBE
data_PaZn9Ag2
_chemical_formula_sum 'Pa1 Zn9 Ag2'
_cell_length_a 8.836
_cell_length_b 8.836
_cell_length_c 3.009
_cell_angle_alpha 90.00
_cell_angle_beta 90.00
_cell_angle_gamma 120.00
_symmetry_space_group_name_H-M 'P 1'
_symmetry_Int_Tables_number 1
loop_
_symmetry_equiv_pos_as_xyz
'x,y,z'
loop_
_atom_site_label
_atom_site_type_symbol
_atom_site_fract_x
_atom_site_fract_y
_atom_site_fract_z
_atom_site_occupancy
Pa1 Pa 0.000 0.000 0.000 1
Zn1 Zn 0.000 0.500 0.000 1
Zn2 Zn 0.179 0.359 0.500 1
Zn3 Zn 0.179 0.821 0.500 1
Zn4 Zn 0.359 0.179 0.500 1
Zn5 Zn 0.500 0.000 0.000 1
Zn6 Zn 0.500 0.500 0.000 1
Zn7 Zn 0.641 0.821 0.500 1
Zn8 Zn 0.821 0.179 0.500 1
Zn9 Zn 0.821 0.641 0.500 1
Ag1 Ag 0.333 0.667 0.000 1
Ag2 Ag 0.667 0.333 0.000 1
# D(E_F) = 4.40 states/eV/f.u.
# size of the total moment = 0.00 μB/cell
# SG = P6/mmm
# crystal system = hexagonal



Quick ranking, most stable first: version x, version w.